Record 1
The following is a DFT calculation (PBE) of crystalline Dy5ZrHg6 at its relaxed geometry.

Properties
Total magnetic moment ... 2.4 Bohr magnetons per cell
D(E_F) ... 9.9 states/eV/cell
Formation enthalpy at 0 K ... -0.406 eV/atom
Calculated density ... 11.6 g cm⁻³
VASP energy ... -38.2 eV per cell

```
12
Lattice="-2.5969 3.7200 7.7890 2.5969 -3.7200 7.7890 2.5969 3.7200 -7.7890" Properties=species:S:1:pos:R:3 pbc="T T T"
Dy 0.0000 0.0000 0.0000
Dy 2.5969 0.0000 2.6580
Dy 0.0000 0.0000 5.3128
Dy 0.0000 0.0000 10.2651
Dy 0.0000 3.7200 5.1310
Zr 0.0000 3.7200 0.0000
Hg 2.5969 -1.8790 5.2037
Hg 2.5969 1.8067 0.0000
Hg 0.0000 1.8410 2.5852
Hg 2.5969 1.8790 5.2037
Hg 0.0000 1.9133 7.7890
Hg 0.0000 5.5990 2.5852
```

---

Record 2
The following is a DFT calculation (PBE) of crystalline DyZr2Hg at its relaxed geometry.

Properties
Total magnetic moment ... 0.0 Bohr magnetons per cell
D(E_F) ... 5.6 states/eV/cell
Formation enthalpy at 0 K ... 0.248 eV/atom
Calculated density ... 9.1 g cm⁻³
VASP energy ... -21.0 eV per cell

```
4
Lattice="1.5833 0.9141 11.4921 -1.5833 0.9141 11.4921 0.0000 -1.8283 11.4921" Properties=species:S:1:pos:R:3 pbc="T T T"
Dy 0.0000 0.0000 0.0000
Zr 0.0000 0.0000 3.2072
Zr 0.0000 0.0000 31.2691
Hg 0.0000 0.0000 17.2382
```

---

Record 3
The following is a DFT calculation (PBE) of crystalline Dy2ZrHg at its relaxed geometry.

Properties
Total magnetic moment ... 0.0 Bohr magnetons per cell
D(E_F) ... 5.9 states/eV/cell
Formation enthalpy at 0 K ... -0.079 eV/atom
Calculated density ... 10.1 g cm⁻³
VASP energy ... -18.4 eV per cell

```
4
Lattice="4.7128 0.0000 0.0000 0.0000 4.7128 0.0000 0.0000 0.0000 4.5837" Properties=species:S:1:pos:R:3 pbc="T T T"
Dy 0.0000 2.3564 0.0000
Dy 2.3564 0.0000 0.0000
Zr 0.0000 0.0000 2.2919
Hg 2.3564 2.3564 2.2919
```

---

Record 4
The following is a DFT calculation (PBE) of crystalline DyZr4Hg5 at its relaxed geometry.

Properties
Total magnetic moment ... 0.0 Bohr magnetons per cell
D(E_F) ... 8.8 states/eV/cell
Formation enthalpy at 0 K ... -0.195 eV/atom
Calculated density ... 11.3 g cm⁻³
VASP energy ... -42.3 eV per cell

```
10
Lattice="3.5711 0.0000 0.0000 0.0000 3.5711 0.0000 0.0000 0.0000 17.7026" Properties=species:S:1:pos:R:3 pbc="T T T"
Dy 0.0000 0.0000 0.0000
Zr 0.0000 0.0000 3.6837
Zr 0.0000 0.0000 7.1162
Zr 0.0000 0.0000 10.5864
Zr 0.0000 0.0000 14.0189
Hg 1.7855 1.7855 1.9376
Hg 1.7855 1.7855 5.3972
Hg 1.7855 1.7855 8.8513
Hg 1.7855 1.7855 12.3054
Hg 1.7855 1.7855 15.7650
```

---

Record 5
The following is a DFT calculation (PBE) of crystalline Dy5ZrHg4 at its relaxed geometry.

Properties
Total magnetic moment ... 0.0 Bohr magnetons per cell
D(E_F) ... 8.3 states/eV/cell
Formation enthalpy at 0 K ... -0.354 eV/atom
Calculated density ... 10.9 g cm⁻³
VASP energy ... -36.3 eV per cell

```
10
Lattice="3.6106 0.0000 0.0000 0.0000 3.6106 0.0000 0.0000 0.0000 20.0186" Properties=species:S:1:pos:R:3 pbc="T T T"
Dy 0.0000 0.0000 0.0000
Dy 0.0000 0.0000 3.8618
Dy 0.0000 0.0000 7.8285
Dy 0.0000 0.0000 12.1901
Dy 0.0000 0.0000 16.1568
Zr 1.8053 1.8053 10.0093
Hg 1.8053 1.8053 1.9266
Hg 1.8053 1.8053 5.8491
Hg 1.8053 1.8053 14.1694
Hg 1.8053 1.8053 18.0919
```

---

Record 6
The following is a DFT calculation (PBE) of crystalline Dy3ZrHg4 at its relaxed geometry.

Properties
Total magnetic moment ... 0.3 Bohr magnetons per cell
D(E_F) ... 9.8 states/eV/cell
Formation enthalpy at 0 K ... -0.375 eV/atom
Calculated density ... 11.6 g cm⁻³
VASP energy ... -26.6 eV per cell

```
8
Lattice="3.6914 0.0000 0.0000 0.0000 3.6914 0.0000 0.0000 0.0000 14.5066" Properties=species:S:1:pos:R:3 pbc="T T T"
Dy 0.0000 0.0000 0.0000
Dy 0.0000 0.0000 3.7540
Dy 0.0000 0.0000 10.7526
Zr 0.0000 0.0000 7.2533
Hg 1.8457 1.8457 1.8645
Hg 1.8457 1.8457 5.5988
Hg 1.8457 1.8457 8.9077
Hg 1.8457 1.8457 12.6420
```

---

Record 7
The following is a DFT calculation (PBE) of crystalline DyZrHg4 at its relaxed geometry.

Properties
Total magnetic moment ... 0.2 Bohr magnetons per cell
D(E_F) ... 2.8 states/eV/cell
Formation enthalpy at 0 K ... -0.201 eV/atom
Calculated density ... 12.6 g cm⁻³
VASP energy ... -15.6 eV per cell

```
6
Lattice="3.3822 0.0000 0.0000 0.0000 3.3822 0.0000 0.0000 0.0000 12.1548" Properties=species:S:1:pos:R:3 pbc="T T T"
Dy 0.0000 0.0000 0.0000
Zr 1.6911 1.6911 6.0774
Hg 0.0000 0.0000 4.1414
Hg 0.0000 0.0000 8.0134
Hg 1.6911 1.6911 2.0803
Hg 1.6911 1.6911 10.0745
```

---

Record 8
The following is a DFT calculation (PBE) of crystalline DyZrHg2 at its relaxed geometry.

Properties
Total magnetic moment ... 1.0 Bohr magnetons per cell
D(E_F) ... 3.5 states/eV/cell
Formation enthalpy at 0 K ... -0.257 eV/atom
Calculated density ... 11.5 g cm⁻³
VASP energy ... -14.8 eV per cell

```
4
Lattice="4.7454 0.0000 0.0000 0.0000 4.7454 0.0000 0.0000 0.0000 4.1833" Properties=species:S:1:pos:R:3 pbc="T T T"
Dy 0.0000 0.0000 0.0000
Zr 2.3727 2.3727 0.0000
Hg 0.0000 2.3727 2.0917
Hg 2.3727 0.0000 2.0917
```

---

Record 9
The following is a DFT calculation (PBE) of crystalline Dy4ZrHg5 at its relaxed geometry.

Properties
Total magnetic moment ... 0.3 Bohr magnetons per cell
D(E_F) ... 11.4 states/eV/cell
Formation enthalpy at 0 K ... -0.398 eV/atom
Calculated density ... 11.6 g cm⁻³
VASP energy ... -32.4 eV per cell

```
10
Lattice="3.6951 0.0000 0.0000 0.0000 3.6951 0.0000 0.0000 0.0000 18.2461" Properties=species:S:1:pos:R:3 pbc="T T T"
Dy 0.0000 0.0000 1.8844
Dy 0.0000 0.0000 5.6227
Dy 0.0000 0.0000 12.6234
Dy 0.0000 0.0000 16.3617
Zr 0.0000 0.0000 9.1230
Hg 1.8475 1.8475 0.0000
Hg 1.8475 1.8475 3.7538
Hg 1.8475 1.8475 7.4625
Hg 1.8475 1.8475 10.7835
Hg 1.8475 1.8475 14.4922
```

---

Record 10
The following is a DFT calculation (PBE) of crystalline DyZrHg at its relaxed geometry.

Properties
Total magnetic moment ... 0.0 Bohr magnetons per cell
D(E_F) ... 1.6 states/eV/cell
Formation enthalpy at 0 K ... -0.205 eV/atom
Calculated density ... 10.1 g cm⁻³
VASP energy ... -14.1 eV per cell

```
3
Lattice="-1.7158 1.7158 6.3390 1.7158 -1.7158 6.3390 1.7158 1.7158 -6.3390" Properties=species:S:1:pos:R:3 pbc="T T T"
Dy 0.0000 0.0000 0.0000
Zr 0.0000 0.0000 8.5751
Hg 0.0000 0.0000 4.1556
```

---

Record 11
The following is a DFT calculation (PBE) of crystalline DyZrHg2 at its relaxed geometry.

Properties
Total magnetic moment ... 0.8 Bohr magnetons per cell
D(E_F) ... 4.1 states/eV/cell
Formation enthalpy at 0 K ... -0.251 eV/atom
Calculated density ... 11.5 g cm⁻³
VASP energy ... -14.8 eV per cell

```
4
Lattice="0.0000 3.6208 3.6208 3.6208 0.0000 3.6208 3.6208 3.6208 0.0000" Properties=species:S:1:pos:R:3 pbc="T T T"
Dy 0.0000 0.0000 0.0000
Zr 3.6208 3.6208 3.6208
Hg 1.8104 1.8104 1.8104
Hg 5.4313 5.4313 5.4313
```

---

Record 12
The following is a DFT calculation (PBE) of crystalline DyZrHg at its relaxed geometry.

Properties
Total magnetic moment ... 0.0 Bohr magnetons per cell
D(E_F) ... 2.7 states/eV/cell
Formation enthalpy at 0 K ... -0.039 eV/atom
Calculated density ... 9.9 g cm⁻³
VASP energy ... -13.6 eV per cell

```
3
Lattice="5.0285 0.0000 0.0000 -2.5143 4.3548 0.0000 0.0000 0.0000 3.4861" Properties=species:S:1:pos:R:3 pbc="T T T"
Dy 0.0000 0.0000 0.0000
Zr 0.0000 2.9032 1.7430
Hg 2.5143 1.4516 1.7430
```